PBEsol NiTeS2, optimized geometry; magnetic moment = 0.002 Bohr magnetons per cell; formation energy without anion corrections = -9 meV per atom; space group = No. 122; theoretical density = 5.42 g/cm³
1.0
6.258 0.000 0.000
0.000 6.258 0.000
0.000 0.000 7.839
Ni Te S
4 4 8
direct
0.000 0.000 0.000
0.000 0.500 0.250
0.500 0.000 0.750
0.500 0.500 0.500
0.000 0.000 0.500
0.000 0.500 0.750
0.500 0.000 0.250
0.500 0.500 0.000
0.176 0.250 0.125
0.250 0.676 0.375
0.250 0.824 0.875
0.324 0.250 0.625
0.676 0.750 0.625
0.750 0.176 0.875
0.750 0.324 0.375
0.824 0.750 0.125

=====

PBEsol NiTeS2, optimized geometry; magnetic moment = 0.002 Bohr magnetons per cell; formation energy without anion corrections = -205 meV per atom; space group = No. 166; theoretical density = 5.46 g/cm³
1.0
3.408 0.000 0.000
-1.704 2.952 0.000
0.000 0.000 22.710
Ni Te S
3 3 6
direct
0.000 0.000 0.000
0.333 0.667 0.667
0.667 0.333 0.333
0.000 0.000 0.500
0.333 0.667 0.167
0.667 0.333 0.833
0.000 0.000 0.384
0.000 0.000 0.616
0.333 0.667 0.051
0.333 0.667 0.283
0.667 0.333 0.717
0.667 0.333 0.949

=====

What is the theoretical density in the first record? 5.42 g/cm³

=====

formation energy without anion corrections of number 1 (NiTeS2)? -9 meV per atom